# 1
First-principles (PBE) data for a relaxed Pm2PrIr2Pt crystal, as listed in the Alexandria database. Values from VASP.

## Properties
crystal system = tetragonal
density = 9.96 g/cm³
formation enthalpy at 0 K = -0.302 eV per atom
V = 28.09 Å³ per atom
total moment = 0.000 μB per atom

```
&SYSTEM
  ibrav = 0, nat = 6, ntyp = 4
/
ATOMIC_SPECIES
Ir 192.22 Ir.upf
Pr 140.91 Pr.upf
Pm 145.00 Pm.upf
Pt 195.08 Pt.upf
CELL_PARAMETERS angstrom
-2.537 -4.950 -0.989
4.003 -2.647 2.981
-3.607 4.395 3.393
ATOMIC_POSITIONS angstrom
Ir -1.400 0.290 2.138
Pr 0.733 -3.799 0.996
Pm 0.565 -1.026 3.685
Pm -2.705 -2.177 1.700
Ir -0.740 -3.493 3.246
Pt 0.000 0.000 0.000
```

***

# 2
First-principles (PBE) data for a relaxed Be5Ni3 crystal, as listed in the Alexandria database. Values from VASP.

## Properties
crystal system = orthorhombic
density = 5.26 g/cm³
formation enthalpy at 0 K = -0.357 eV per atom
V = 8.73 Å³ per atom
total moment = 0.000 μB per atom

```
&SYSTEM
  ibrav = 0, nat = 8, ntyp = 2
/
ATOMIC_SPECIES
Be 9.01 Be.upf
Ni 58.69 Ni.upf
CELL_PARAMETERS angstrom
4.491 0.017 0.000
-1.473 4.242 0.000
0.000 0.000 3.662
ATOMIC_POSITIONS angstrom
Be -0.736 2.121 0.000
Be 2.245 0.008 0.000
Be 0.000 0.000 0.000
Be 0.777 1.097 1.831
Be 2.241 3.162 1.831
Ni -0.025 3.216 1.831
Ni 1.509 2.130 0.000
Ni 3.042 1.043 1.831
```